# La2YAgS5

An optimized crystal structure of La2YAgS5 (PBE, the Alexandria database).

Unit cell a=8.636 b=8.636 c=12.230 alpha=90.00 beta=90.00 gamma=152.89
Positions (direct):
La (0.111, 0.889, 0.500)
La (0.126, 0.874, 0.120)
La (0.874, 0.126, 0.620)
La (0.889, 0.111, 0.000)
Y (0.194, 0.806, 0.821)
Y (0.806, 0.194, 0.321)
Ag (0.470, 0.530, 0.284)
Ag (0.530, 0.470, 0.784)
S (0.047, 0.953, 0.897)
S (0.289, 0.711, 0.477)
S (0.306, 0.694, 0.164)
S (0.357, 0.643, 0.816)
S (0.499, 0.501, 0.589)
S (0.501, 0.499, 0.089)
S (0.643, 0.357, 0.316)
S (0.694, 0.306, 0.664)
S (0.711, 0.289, 0.977)
S (0.953, 0.047, 0.397)

Theoretical density   5.1 g cm⁻³
Electronic total energy   -6.208 eV/atom
Formation energy (no corrections)   -16.1 eV/f.u.


# Pr8Pt2Pb

An optimized crystal structure of Pr8Pt2Pb (PBE, the Alexandria database).

Unit cell a=8.339 b=8.339 c=5.762 alpha=97.50 beta=97.50 gamma=115.00
Positions (direct):
Pr (0.079, 0.326, 0.574)
Pr (0.248, 0.752, 0.000)
Pr (0.326, 0.079, 0.574)
Pr (0.395, 0.395, 0.195)
Pr (0.605, 0.605, 0.805)
Pr (0.674, 0.921, 0.426)
Pr (0.752, 0.248, 0.000)
Pr (0.921, 0.674, 0.426)
Pt (0.302, 0.698, 0.500)
Pt (0.698, 0.302, 0.500)
Pb (0.000, 0.000, 0.000)

Energy of formation from the pure elements   -0.453 eV per atom
Theoretical density   8.1 g cm⁻³
Electronic total energy   -5.364 eV/atom